# CsZnP | Alexandria | PBE | relaxed
# * E_form: 32 meV/atom
# * raw total energy: -2.4806 eV/atom
data_CsZnP
_cell_length_a 3.6469
_cell_length_b 3.6469
_cell_length_c 12.7438
_cell_angle_alpha 90.00
_cell_angle_beta 90.00
_cell_angle_gamma 90.00
_space_group_name_H-M_alt 'I 4 m m'
_space_group_IT_number 107
_space_group_name_Hall 'I 4 -2'
loop_
_atom_site_label
_atom_site_fract_x
_atom_site_fract_y
_atom_site_fract_z
Cs1 0.0000 0.0000 0.0000
Zn1 0.0000 0.0000 0.2524
P1 0.0000 0.0000 0.7279